The following is a DFT calculation (PBE+U) of crystalline Ac2VGaO6 at its relaxed geometry.

The space group is Immm (No. 71) and the conventional cell measures 5.644, 5.704 and 7.952 Å, with angles of 90.00, 90.00 and 90.00 degrees. The asymmetric unit holds Ac at (0.000, 0.000, 0.250), V at (0.000, 0.500, 0.000), Ga at (0.000, 0.500, 0.500), O at (0.000, 0.500, 0.251) and O at (0.248, 0.254, 0.500).

The value obtained for the theoretical density is 8.7 g/cm³. The value obtained for the final energy is -7.558 eV per atom. The crystal system is orthorhombic.